Record 1
Entry from Alexandria via LeMat-Bulk: an optimized crystal structure of ZnGe3F (PBE).

Summary:
For the calculated density, the calculation gives 5.2 g/cm3. As for the space group: Pm-3m, No. 221. The calculation puts the uncorrected formation energy at 0.0880 eV per atom. As for the total magnetic moment: 0.000 μB per formula unit. As for the polymorph energy (0 for the lowest one): 0 meV/atom.

Cell lengths 4.590, 4.590, 4.590 Å; angles 90.00, 90.00, 90.00 degrees
Atoms (fractional coordinates):
1 Ge 0.000 0.500 0.000
2 Ge 0.500 0.000 0.000
3 Ge 0.000 0.000 0.500
4 Zn 0.500 0.500 0.500
5 F 0.000 0.000 0.000


Record 2
Entry from Alexandria via LeMat-Bulk: an optimized crystal structure of ZnGeF2 (PBE).

Summary:
For the calculated density, the calculation gives 5.1 g/cm3. As for the space group: Fm-3m, No. 225. The calculation puts the uncorrected formation energy at -0.9620 eV per atom. As for the total magnetic moment: 0.000 μB per formula unit. As for the polymorph energy (0 for the lowest one): 315 meV/atom.

Cell lengths 4.321, 4.321, 4.321 Å; angles 60.00, 60.00, 60.00 degrees
Atoms (fractional coordinates):
1 F 0.750 0.750 0.750
2 F 0.250 0.250 0.250
3 Ge 0.500 0.500 0.500
4 Zn 0.000 0.000 0.000


Record 3
Entry from Alexandria via LeMat-Bulk: an optimized crystal structure of Zr2Ge2F (PBE).

Summary:
For the calculated density, the calculation gives 6.3 g/cm3. As for the space group: P4/mbm, No. 127. The calculation puts the uncorrected formation energy at -1.1375 eV per atom. As for the total magnetic moment: 0.000 μB per formula unit.

Cell lengths 6.741, 6.741, 3.990 Å; angles 90.00, 90.00, 90.00 degrees
Atoms (fractional coordinates):
1 Zr 0.677 0.177 0.000
2 Zr 0.177 0.323 0.000
3 Zr 0.823 0.677 0.000
4 Zr 0.323 0.823 0.000
5 F 0.500 0.500 0.000
6 F 0.000 0.000 0.000
7 Ge 0.372 0.128 0.500
8 Ge 0.872 0.372 0.500
9 Ge 0.128 0.628 0.500
10 Ge 0.628 0.872 0.500


Record 4
Entry from Alexandria via LeMat-Bulk: an optimized crystal structure of ZrGeF3 (PBE).

Summary:
For the calculated density, the calculation gives 4.3 g/cm3. As for the space group: Pm-3m, No. 221. The calculation puts the uncorrected formation energy at -1.1041 eV per atom. As for the total magnetic moment: 2.994 μB per formula unit. As for the polymorph energy (0 for the lowest one): 823 meV/atom.

Cell lengths 4.415, 4.415, 4.415 Å; angles 90.00, 90.00, 90.00 degrees
Last column: magnetic moment on the atom in μB.
Atoms (fractional coordinates):
1 F 0.500 0.000 0.000  0.03
2 F 0.000 0.500 0.000  0.04
3 F 0.000 0.000 0.500  0.04
4 Zr 0.500 0.500 0.500  1.77
5 Ge 0.000 0.000 0.000  0.07


Record 5
Entry from Alexandria via LeMat-Bulk: an optimized crystal structure of Zr3GeF (PBE).

Summary:
For the calculated density, the calculation gives 6.7 g/cm3. As for the space group: Pm-3m, No. 221. The calculation puts the uncorrected formation energy at -0.6582 eV per atom. As for the total magnetic moment: 0.001 μB per formula unit. As for the polymorph energy (0 for the lowest one): 0 meV/atom.

Cell lengths 4.492, 4.492, 4.492 Å; angles 90.00, 90.00, 90.00 degrees
Atoms (fractional coordinates):
1 Zr 0.000 0.000 0.500
2 Zr 0.000 0.500 0.000
3 Zr 0.500 0.000 0.000
4 Ge 0.500 0.500 0.500
5 F 0.000 0.000 0.000


Record 6
Entry from Alexandria via LeMat-Bulk: an optimized crystal structure of ZrGeF3 (PBE).

Summary:
For the calculated density, the calculation gives 4.4 g/cm3. As for the space group: Pm-3m, No. 221. The calculation puts the uncorrected formation energy at -1.9274 eV per atom. As for the total magnetic moment: 2.844 μB per formula unit. As for the polymorph energy (0 for the lowest one): 0 meV/atom.

Cell lengths 4.364, 4.364, 4.364 Å; angles 90.00, 90.00, 90.00 degrees
Last column: magnetic moment on the atom in μB.
Atoms (fractional coordinates):
1 F 0.000 0.000 0.500  0.09
2 F 0.500 0.000 0.000  0.09
3 F 0.000 0.500 0.000  0.05
4 Zr 0.000 0.000 0.000  0.71
5 Ge 0.500 0.500 0.500  0.70